An optimized crystal structure of LiIrW2. Source: the Alexandria database, functional PBE-GGA.

- ΔH_f (0 K) (eV per atom) = 0.154
- total energy (eV per atom) = -9.016
- V (Å³ per cell) = 59.0
- D(E_F) (states/eV per cell) = 2.4

Lattice parameters (Å, degrees): 2.7436 3.8854 5.5379 90.00 90.00 90.00
Last column: nearest neighbours and their distance in Å.
Fractional positions:
Li (0.5000, 0.5000, 0.7399)  6 W 2.66-2.88, 4 Ir 2.68, 2 Li 2.74
W (0.5000, 0.5000, 0.2603)  2 Li 2.66-2.88, 6 W 2.74-2.84, 4 Ir 2.78
W (0.0000, 0.0000, 0.9812)  1 Ir 2.56, 4 Li 2.73, 6 W 2.74-2.84
Ir (0.0000, 0.0000, 0.5186)  5 W 2.56-2.78, 4 Li 2.68, 2 Ir 2.74

---

An optimized crystal structure of LiIr2W. Source: the Alexandria database, functional PBE-GGA.

- ΔH_f (0 K) (eV per atom) = 0.230
- total energy (eV per atom) = -7.917
- V (Å³ per cell) = 60.7
- D(E_F) (states/eV per cell) = 3.9

Lattice parameters (Å, degrees): 2.6945 2.6945 9.3935 90.00 90.00 117.11
Last column: nearest neighbours and their distance in Å.
Fractional positions:
Ir (0.5000, 0.5000, 0.2550)  2 Li 2.60, 8 Ir 2.69-2.81
Ir (0.0000, 0.0000, 0.9989)  2 W 2.66, 8 Ir 2.69-2.81
Li (0.0000, 0.0000, 0.4876)  2 Ir 2.60, 6 Li 2.69-2.81, 2 W 2.91
W (0.5000, 0.5000, 0.7585)  2 Ir 2.66, 6 W 2.69-2.81, 2 Li 2.91

---

An optimized crystal structure of LiIrW2. Source: the Alexandria database, functional PBE-GGA.

- ΔH_f (0 K) (eV per atom) = 0.318
- total energy (eV per atom) = -8.852
- V (Å³ per cell) = 60.9
- D(E_F) (states/eV per cell) = 3.3

Lattice parameters (Å, degrees): 2.7432 2.7432 8.0887 90.00 90.00 90.00
Last column: nearest neighbours and their distance in Å.
Fractional positions:
Li (0.5000, 0.5000, 0.7500)  4 Li 2.74, 8 W 2.84
W (0.0000, 0.0000, 0.4938)  4 W 2.74, 4 Ir 2.77, 4 Li 2.84
W (0.0000, 0.0000, 0.0062)  4 W 2.74, 4 Ir 2.77, 4 Li 2.84
Ir (0.5000, 0.5000, 0.2500)  4 Ir 2.74, 8 W 2.77

---

An optimized crystal structure of LiIrW2. Source: the Alexandria database, functional PBE-GGA.

- ΔH_f (0 K) (eV per atom) = 0.403
- total energy (eV per atom) = -8.767
- V (Å³ per cell) = 58.9
- D(E_F) (states/eV per cell) = 5.7

Lattice parameters (Å, degrees): 4.3672 4.3672 4.3672 60.00 60.00 60.00
Last column: nearest neighbours and their distance in Å.
Fractional positions:
W (0.2500, 0.2500, 0.2500)  4 Li 2.67, 4 Ir 2.67
W (0.7500, 0.7500, 0.7500)  4 Ir 2.67, 4 Li 2.67
Li (0.0000, 0.0000, 0.0000)  8 W 2.67
Ir (0.5000, 0.5000, 0.5000)  8 W 2.67

---

An optimized crystal structure of LiIr2W. Source: the Alexandria database, functional PBE-GGA.

- ΔH_f (0 K) (eV per atom) = 0.086
- total energy (eV per atom) = -8.061
- V (Å³ per cell) = 60.6
- D(E_F) (states/eV per cell) = 3.4

Lattice parameters (Å, degrees): 9.4820 9.4820 9.4820 16.59 16.59 16.59
Last column: nearest neighbours and their distance in Å.
Fractional positions:
Ir (0.0003, 0.0003, 0.0003)  3 W 2.70, 9 Ir 2.74-2.83
Ir (0.2498, 0.2498, 0.2498)  3 Li 2.71, 9 Ir 2.74-2.83
W (0.7452, 0.7452, 0.7452)  3 Ir 2.70, 6 W 2.74
Li (0.5047, 0.5047, 0.5047)  3 Ir 2.71, 6 Li 2.74

---

An optimized crystal structure of LiIrW2. Source: the Alexandria database, functional PBE-GGA.

- ΔH_f (0 K) (eV per atom) = 0.370
- total energy (eV per atom) = -8.800
- V (Å³ per cell) = 63.3
- D(E_F) (states/eV per cell) = 4.0

Lattice parameters (Å, degrees): 2.6957 2.6957 9.5824 90.00 90.00 114.67
Last column: nearest neighbours and their distance in Å.
Fractional positions:
Li (0.5000, 0.5000, 0.7500)  6 Li 2.70-2.91, 4 W 2.88
Ir (0.5000, 0.5000, 0.2500)  6 Ir 2.70-2.91, 4 W 2.73
W (0.0000, 0.0000, 0.4912)  6 W 2.70-2.91, 2 Ir 2.73, 2 Li 2.88
W (0.0000, 0.0000, 0.0088)  6 W 2.70-2.91, 2 Ir 2.73, 2 Li 2.88

---

An optimized crystal structure of LiIrW2. Source: the Alexandria database, functional PBE-GGA.

- ΔH_f (0 K) (eV per atom) = 0.247
- total energy (eV per atom) = -8.923
- V (Å³ per cell) = 63.7
- D(E_F) (states/eV per cell) = 2.3

Lattice parameters (Å, degrees): 9.6677 9.6677 9.6677 16.51 16.51 16.51
Last column: nearest neighbours and their distance in Å.
Fractional positions:
W (0.5050, 0.5050, 0.5050)  3 Ir 2.76, 6 W 2.78, 3 Li 2.99
W (0.9950, 0.9950, 0.9950)  3 Ir 2.76, 6 W 2.78, 3 Li 2.99
Li (0.7500, 0.7500, 0.7500)  6 Li 2.78, 6 W 2.99
Ir (0.2500, 0.2500, 0.2500)  6 W 2.76, 6 Ir 2.78

---

An optimized crystal structure of LiIrW2. Source: the Alexandria database, functional PBE-GGA.

- ΔH_f (0 K) (eV per atom) = 0.198
- total energy (eV per atom) = -8.972
- V (Å³ per cell) = 59.3
- D(E_F) (states/eV per cell) = 3.7

Lattice parameters (Å, degrees): 4.8926 4.8926 2.7191 90.00 90.00 114.30
Last column: nearest neighbours and their distance in Å.
Fractional positions:
W (0.0000, 0.0000, 0.0000)  4 W 2.65-2.72, 4 Li 2.80, 4 Ir 2.80
W (0.5000, 0.5000, 0.0000)  4 W 2.65-2.72, 4 Ir 2.80, 4 Li 2.80
Ir (0.5000, 0.0000, 0.5000)  2 Li 2.65, 2 Ir 2.72, 8 W 2.80
Li (0.0000, 0.5000, 0.5000)  2 Ir 2.65, 2 Li 2.72, 8 W 2.80